# 1
Entry from Alexandria via LeMat-Bulk: LiY6Au5 after structural relaxation (PBE).

Results
- Final energy: -5.49 eV per atom
- D(E_F): 6.863 states/eV/cell
- ΔE_f: -0.74 eV per atom

Cell lengths 8.1693, 8.1693, 7.1998 Å; angles 90.00, 90.00, 143.85 degrees
Fractional positions:
Li 0.0000 0.0000 0.0000
Y 0.1690 0.8310 0.2489
Y 0.1690 0.8310 0.7511
Y 0.5000 0.5000 0.2590
Y 0.5000 0.5000 0.7410
Y 0.8310 0.1690 0.2489
Y 0.8310 0.1690 0.7511
Au 0.0000 0.0000 0.5000
Au 0.3292 0.6708 0.5000
Au 0.3523 0.6477 0.0000
Au 0.6477 0.3523 0.0000
Au 0.6708 0.3292 0.5000

***

# 2
Entry from Alexandria via LeMat-Bulk: Li5YAu7 after structural relaxation (PBE).

Results
- Final energy: -3.51 eV per atom
- D(E_F): 3.878 states/eV/cell
- ΔE_f: -0.51 eV per atom

Cell lengths 6.9867, 6.9867, 6.9867 Å; angles 135.52, 97.96, 98.51 degrees
Fractional positions:
Li 0.0000 0.0000 0.0000
Li 0.2741 0.2743 0.5058
Li 0.2741 0.7683 0.9998
Li 0.7684 0.2743 0.0002
Li 0.7684 0.7683 0.4942
Y 0.7587 0.2587 0.5000
Au 0.0923 0.5923 0.5000
Au 0.1014 0.2625 0.8389
Au 0.4236 0.2625 0.1611
Au 0.4237 0.9237 0.5000
Au 0.5478 0.5478 0.0000
Au 0.5714 0.7793 0.7921
Au 0.9872 0.7793 0.2079

***

# 3
Entry from Alexandria via LeMat-Bulk: Li2YAu after structural relaxation (PBE).

Results
- Final energy: -3.75 eV per atom
- D(E_F): 1.958 states/eV/cell
- ΔE_f: -0.35 eV per atom

Cell lengths 3.6858, 4.0879, 6.1829 Å; angles 90.00, 106.98, 90.00 degrees
Fractional positions:
Li 0.0000 0.0000 0.0000
Li 0.4378 0.5000 0.8768
Y 0.7103 0.5000 0.4155
Au 0.2998 0.0000 0.5988

***

# 4
Entry from Alexandria via LeMat-Bulk: LiY2Au after structural relaxation (PBE).

Results
- Final energy: -4.72 eV per atom
- D(E_F): 5.696 states/eV/cell
- ΔE_f: -0.19 eV per atom

Cell lengths 9.2918, 9.2918, 9.2918 Å; angles 23.86, 23.86, 23.86 degrees
Fractional positions:
Li 0.0000 0.0000 0.0000
Y 0.2373 0.2373 0.2373
Y 0.7627 0.7627 0.7627
Au 0.5000 0.5000 0.5000

***

# 5
Entry from Alexandria via LeMat-Bulk: Li3Y2Au4 after structural relaxation (PBE).

Results
- Final energy: -4.16 eV per atom
- D(E_F): 10.434 states/eV/cell
- ΔE_f: -0.62 eV per atom

Cell lengths 8.1778, 8.1778, 7.8451 Å; angles 90.00, 90.00, 138.57 degrees
Fractional positions:
Li 0.0000 0.0000 0.0000
Li 0.0346 0.4654 0.2500
Li 0.4654 0.0346 0.7500
Li 0.5000 0.5000 0.5000
Li 0.5346 0.9654 0.2500
Li 0.9654 0.5346 0.7500
Y 0.1142 0.8858 0.4128
Y 0.3858 0.6142 0.9128
Y 0.6142 0.3858 0.0872
Y 0.8858 0.1142 0.5872
Au 0.1846 0.8154 0.0418
Au 0.2031 0.2969 0.2500
Au 0.2969 0.2031 0.7500
Au 0.3154 0.6846 0.5418
Au 0.6846 0.3154 0.4582
Au 0.7031 0.7969 0.2500
Au 0.7969 0.7031 0.7500
Au 0.8154 0.1846 0.9582

***

# 6
Entry from Alexandria via LeMat-Bulk: Li2YAu after structural relaxation (PBE).

Results
- Final energy: -3.84 eV per atom
- D(E_F): 5.462 states/eV/cell
- ΔE_f: -0.45 eV per atom

Cell lengths 4.7137, 5.5569, 6.3404 Å; angles 90.00, 90.10, 90.00 degrees
Fractional positions:
Li 0.2500 0.0041 0.1025
Li 0.2500 0.4959 0.1025
Li 0.7500 0.5041 0.8975
Li 0.7500 0.9959 0.8975
Y 0.2501 0.2500 0.5669
Y 0.7499 0.7500 0.4331
Au 0.2504 0.7500 0.7317
Au 0.7496 0.2500 0.2683

***

# 7
Entry from Alexandria via LeMat-Bulk: LiY3Au4 after structural relaxation (PBE).

Results
- Final energy: -5.08 eV per atom
- D(E_F): 4.864 states/eV/cell
- ΔE_f: -0.78 eV per atom

Cell lengths 8.7116, 8.7116, 8.7116 Å; angles 33.32, 33.32, 33.32 degrees
Fractional positions:
Li 0.0000 0.0000 0.0000
Y 0.2562 0.2562 0.2562
Y 0.5000 0.5000 0.5000
Y 0.7438 0.7438 0.7438
Au 0.1286 0.1286 0.1286
Au 0.3777 0.3777 0.3777
Au 0.6223 0.6223 0.6223
Au 0.8714 0.8714 0.8714

***

# 8
Entry from Alexandria via LeMat-Bulk: LiY2Au3 after structural relaxation (PBE).

Results
- Final energy: -4.87 eV per atom
- D(E_F): 6.661 states/eV/cell
- ΔE_f: -0.76 eV per atom

Cell lengths 4.9930, 4.9930, 11.9988 Å; angles 90.00, 90.00, 120.00 degrees
Fractional positions:
Li 0.3333 0.6667 0.1689
Li 0.6667 0.3333 0.8311
Y 0.0000 0.0000 0.0000
Y 0.0000 0.0000 0.5000
Y 0.3333 0.6667 0.6855
Y 0.6667 0.3333 0.3145
Au 0.0000 0.0000 0.2499
Au 0.0000 0.0000 0.7501
Au 0.3333 0.6667 0.4218
Au 0.3333 0.6667 0.9353
Au 0.6667 0.3333 0.0647
Au 0.6667 0.3333 0.5782

***

# 9
Entry from Alexandria via LeMat-Bulk: Li2YAu after structural relaxation (PBE).

Results
- Final energy: -3.76 eV per atom
- D(E_F): 1.787 states/eV/cell
- ΔE_f: -0.37 eV per atom

Cell lengths 3.5791, 3.5791, 6.7333 Å; angles 90.00, 90.00, 90.00 degrees
Fractional positions:
Li 0.0000 0.0000 0.0000
Li 0.5000 0.5000 0.1940
Y 0.0000 0.0000 0.5485
Au 0.5000 0.5000 0.7849

***

# 10
Entry from Alexandria via LeMat-Bulk: LiY4Au after structural relaxation (PBE).

Results
- Final energy: -4.77 eV per atom
- D(E_F): 5.324 states/eV/cell
- ΔE_f: 0.40 eV per atom

Cell lengths 6.3010, 6.3010, 6.3010 Å; angles 60.00, 60.00, 60.00 degrees
Fractional positions:
Li 0.0000 0.0000 0.0000
Y 0.1272 0.6243 0.6243
Y 0.6243 0.1272 0.6243
Y 0.6243 0.6243 0.1272
Y 0.6243 0.6243 0.6243
Au 0.2500 0.2500 0.2500

***

# 11
Entry from Alexandria via LeMat-Bulk: Li2YAu4 after structural relaxation (PBE).

Results
- Final energy: -3.87 eV per atom
- D(E_F): 2.358 states/eV/cell
- ΔE_f: -0.53 eV per atom

Cell lengths 8.0156, 8.0156, 8.0156 Å; angles 148.68, 148.68, 44.88 degrees
Fractional positions:
Li 0.2445 0.2445 0.0000
Li 0.7555 0.7555 0.0000
Y 0.5000 0.5000 0.0000
Au 0.1389 0.6389 0.5000
Au 0.3611 0.8611 0.5000
Au 0.6389 0.1389 0.5000
Au 0.8611 0.3611 0.5000

***

# 12
Entry from Alexandria via LeMat-Bulk: LiY2Au3 after structural relaxation (PBE).

Results
- Final energy: -4.82 eV per atom
- D(E_F): 4.235 states/eV/cell
- ΔE_f: -0.71 eV per atom

Cell lengths 7.8136, 7.8136, 3.6302 Å; angles 90.00, 90.00, 143.61 degrees
Fractional positions:
Li 0.0000 0.0000 0.0000
Y 0.3403 0.6597 0.0000
Y 0.6597 0.3403 0.0000
Au 0.1735 0.8265 0.5000
Au 0.5000 0.5000 0.5000
Au 0.8265 0.1735 0.5000

***

# 13
Entry from Alexandria via LeMat-Bulk: Li2YAu after structural relaxation (PBE).

Results
- Final energy: -3.74 eV per atom
- D(E_F): 2.608 states/eV/cell
- ΔE_f: -0.35 eV per atom

Cell lengths 5.4317, 5.4317, 4.8324 Å; angles 108.24, 108.24, 38.31 degrees
Fractional positions:
Li 0.2212 0.2212 0.1932
Li 0.7788 0.7788 0.8068
Y 0.0000 0.0000 0.5000
Au 0.5000 0.5000 0.0000

***

# 14
Entry from Alexandria via LeMat-Bulk: Li4YAu2 after structural relaxation (PBE).

Results
- Final energy: -3.42 eV per atom
- D(E_F): 8.010 states/eV/cell
- ΔE_f: -0.47 eV per atom

Cell lengths 7.7069, 7.7069, 4.3430 Å; angles 90.00, 90.00, 90.00 degrees
Fractional positions:
Li 0.0980 0.3492 0.0000
Li 0.1508 0.5980 0.5000
Li 0.3492 0.0980 0.0000
Li 0.4020 0.8492 0.5000
Li 0.5980 0.1508 0.5000
Li 0.6508 0.9020 0.0000
Li 0.8492 0.4020 0.5000
Li 0.9020 0.6508 0.0000
Y 0.0000 0.0000 0.5000
Y 0.5000 0.5000 0.0000
Au 0.2118 0.7882 0.0000
Au 0.2882 0.2882 0.5000
Au 0.7118 0.7118 0.5000
Au 0.7882 0.2118 0.0000

***

# 15
Entry from Alexandria via LeMat-Bulk: Li2YAu after structural relaxation (PBE).

Results
- Final energy: -3.76 eV per atom
- D(E_F): 3.643 states/eV/cell
- ΔE_f: -0.37 eV per atom

Cell lengths 4.5939, 4.5939, 5.1999 Å; angles 115.69, 115.69, 59.32 degrees
Fractional positions:
Li 0.0000 0.0000 0.0000
Li 0.7276 0.7276 0.1839
Y 0.2175 0.2175 0.6533
Au 0.4393 0.4393 0.3200

***

# 16
Entry from Alexandria via LeMat-Bulk: Li5YAu6 after structural relaxation (PBE).

Results
- Final energy: -3.56 eV per atom
- D(E_F): 3.966 states/eV/cell
- ΔE_f: -0.59 eV per atom

Cell lengths 4.6308, 6.5114, 7.2578 Å; angles 90.00, 108.18, 90.00 degrees
Fractional positions:
Li 0.0000 0.0000 0.0000
Li 0.3316 0.5000 0.6522
Li 0.3451 0.0000 0.6755
Li 0.6549 0.0000 0.3245
Li 0.6684 0.5000 0.3478
Y 0.0000 0.5000 0.0000
Au 0.1664 0.2342 0.3464
Au 0.1664 0.7658 0.3464
Au 0.5000 0.2265 0.0000
Au 0.5000 0.7735 0.0000
Au 0.8336 0.2342 0.6536
Au 0.8336 0.7658 0.6536

***

# 17
Entry from Alexandria via LeMat-Bulk: Li2YAu after structural relaxation (PBE).

Results
- Final energy: -3.47 eV per atom
- D(E_F): 2.259 states/eV/cell
- ΔE_f: -0.08 eV per atom

Cell lengths 9.2528, 9.2528, 9.2528 Å; angles 21.03, 21.03, 21.03 degrees
Fractional positions:
Li 0.2302 0.2302 0.2302
Li 0.7698 0.7698 0.7698
Y 0.0000 0.0000 0.0000
Au 0.5000 0.5000 0.5000

***

# 18
Entry from Alexandria via LeMat-Bulk: Li2YAu after structural relaxation (PBE).

Results
- Final energy: -3.72 eV per atom
- D(E_F): 1.509 states/eV/cell
- ΔE_f: -0.33 eV per atom

Cell lengths 5.3741, 5.3741, 5.3741 Å; angles 133.61, 133.61, 67.70 degrees
Fractional positions:
Li 0.2500 0.7500 0.5000
Li 0.7500 0.2500 0.5000
Y 0.0000 0.0000 0.0000
Au 0.5000 0.5000 0.0000

***

# 19
Entry from Alexandria via LeMat-Bulk: Li2YAu after structural relaxation (PBE).

Results
- Final energy: -3.69 eV per atom
- D(E_F): 2.935 states/eV/cell
- ΔE_f: -0.30 eV per atom

Cell lengths 3.4137, 5.0794, 4.9668 Å; angles 90.00, 93.50, 90.00 degrees
Fractional positions:
Li 0.1673 0.0000 0.2816
Li 0.8327 0.0000 0.7184
Y 0.5000 0.5000 0.0000
Au 0.0000 0.5000 0.5000

***

# 20
Entry from Alexandria via LeMat-Bulk: LiY2Au6 after structural relaxation (PBE).

Results
- Final energy: -4.47 eV per atom
- D(E_F): 4.567 states/eV/cell
- ΔE_f: -0.64 eV per atom

Cell lengths 8.2418, 8.2418, 5.1920 Å; angles 99.08, 99.08, 143.12 degrees
Fractional positions:
Li 0.0000 0.0000 0.0000
Y 0.3371 0.6629 0.5000
Y 0.6629 0.3371 0.5000
Au 0.0017 0.6750 0.1677
Au 0.3250 0.9983 0.8323
Au 0.3417 0.3417 0.6776
Au 0.6583 0.6583 0.3224
Au 0.6750 0.0017 0.1677
Au 0.9983 0.3250 0.8323

***

# 21
Entry from Alexandria via LeMat-Bulk: LiY2Au after structural relaxation (PBE).

Results
- Final energy: -4.62 eV per atom
- D(E_F): 5.442 states/eV/cell
- ΔE_f: -0.10 eV per atom

Cell lengths 6.5930, 6.5930, 6.5930 Å; angles 103.63, 103.63, 121.91 degrees
Fractional positions:
Li 0.0000 0.0000 0.0000
Li 0.7500 0.2500 0.5000
Y 0.1525 0.1250 0.5275
Y 0.3750 0.8475 0.9725
Y 0.5975 0.6250 0.4725
Y 0.8750 0.4025 0.0275
Au 0.2500 0.7500 0.5000
Au 0.5000 0.5000 0.0000

***

# 22
Entry from Alexandria via LeMat-Bulk: Li2Y3Au6 after structural relaxation (PBE).

Results
- Final energy: -4.51 eV per atom
- D(E_F): 5.531 states/eV/cell
- ΔE_f: -0.61 eV per atom

Cell lengths 11.9235, 11.9235, 11.9235 Å; angles 158.31, 158.31, 30.86 degrees
Fractional positions:
Li 0.0520 0.0520 0.0000
Li 0.9480 0.9480 0.0000
Y 0.3072 0.3072 0.0000
Y 0.5000 0.5000 0.0000
Y 0.6928 0.6928 0.0000
Au 0.0963 0.5963 0.5000
Au 0.1821 0.1821 0.0000
Au 0.4037 0.9037 0.5000
Au 0.5963 0.0963 0.5000
Au 0.8179 0.8179 0.0000
Au 0.9037 0.4037 0.5000

***

# 23
Entry from Alexandria via LeMat-Bulk: LiY2Au after structural relaxation (PBE).

Results
- Final energy: -4.96 eV per atom
- D(E_F): 3.591 states/eV/cell
- ΔE_f: -0.43 eV per atom

Cell lengths 5.0677, 5.0677, 3.6834 Å; angles 90.00, 90.00, 90.07 degrees
Fractional positions:
Li 0.0000 0.0000 0.0000
Y 0.0000 0.5000 0.5000
Y 0.5000 0.0000 0.5000
Au 0.5000 0.5000 0.0000

***

# 24
Entry from Alexandria via LeMat-Bulk: LiY2Au after structural relaxation (PBE).

Results
- Final energy: -4.90 eV per atom
- D(E_F): 2.844 states/eV/cell
- ΔE_f: -0.37 eV per atom

Cell lengths 3.6521, 3.6521, 7.2386 Å; angles 90.00, 90.00, 90.00 degrees
Fractional positions:
Li 0.0000 0.0000 0.0000
Y 0.0000 0.0000 0.5972
Y 0.5000 0.5000 0.2593
Au 0.5000 0.5000 0.8292